VASP calculation (PBE) on crystalline MgH3Pb at its relaxed geometry.

abc: 4.3386 4.3386 4.3386
angles: 90.00 90.00 90.00
Fractional positions:
Pb 0.0000 0.0000 0.0000
H 0.0000 0.5000 0.0000
H 0.0000 0.0000 0.5000
H 0.5000 0.0000 0.0000
Mg 0.5000 0.5000 0.5000

Summary:
* ρ: 4.77 g/cm³
* DOS at the Fermi energy: 0.87 states/eV/f.u.
* uncorrected energy: -12.58 eV for the cell shown
* energy above the lowest structure with this stoichiometry: 346 meV/atom